1.
This record from the Alexandria database describes a relaxed structure of SrSc2Ru. The functional is PBE.

## Properties
Density of states at the Fermi level = 1.00 states/eV per atom
Volume = 25.42 A^3/atom
Energy above the lowest structure with this stoichiometry = 460 meV per atom
M_tot = 2.1 Bohr magnetons per cell
DFT total energy = -67.8 eV per cell
DFT formation energy = 0.26 eV/atom

Lattice parameters (Å, degrees): 3.4232 3.4232 30.0532 90.00 90.00 120.00
With the nearest neighbours (Å) after each atom.
Atoms (fractional coordinates):
Sr 0.0000 0.0000 0.0000  3 Ru 3.02
Sr 0.3333 0.6667 0.6667  3 Ru 3.02
Sr 0.6667 0.3333 0.3333  3 Ru 3.02
Sc 0.0000 0.0000 0.2241  9 Sc 3.39-3.42
Sc 0.0000 0.0000 0.4656  3 Ru 2.60
Sc 0.3333 0.6667 0.1322  3 Ru 2.60
Sc 0.3333 0.6667 0.8907  9 Sc 3.39-3.42
Sc 0.6667 0.3333 0.5574  9 Sc 3.39-3.42
Sc 0.6667 0.3333 0.7989  3 Ru 2.60
Ru 0.0000 0.0000 0.7429  3 Sc 2.60
Ru 0.3333 0.6667 0.4095  3 Sc 2.60
Ru 0.6667 0.3333 0.0762  3 Sc 2.60

***

2.
This record from the Alexandria database describes a relaxed structure of GdHg. The functional is PBE.

## Properties
Density of states at the Fermi level = 1.15 states/eV per atom
Volume = 27.26 A^3/atom
M_tot = 14.9 Bohr magnetons per cell
DFT total energy = -30.6 eV per cell
DFT formation energy = -0.46 eV/atom

Lattice parameters (Å, degrees): 3.8248 4.8582 6.1639 90.00 107.80 90.00
With the nearest neighbours (Å) after each atom.
Atoms (fractional coordinates):
Gd 0.1451 0.2500 0.2924  7 Hg 3.16-3.32
Gd 0.8549 0.7500 0.7076  7 Hg 3.16-3.32
Hg 0.4168 0.2500 0.8314  2 Hg 3.13, 7 Gd 3.16-3.32
Hg 0.5832 0.7500 0.1686  2 Hg 3.13, 7 Gd 3.16-3.32

***

3.
This record from the Alexandria database describes a relaxed structure of Ac8CoIr3Cl4. The functional is PBE.

## Properties
Density of states at the Fermi level = 0.31 states/eV per atom
Volume = 32.07 A^3/atom
M_tot = 0.0 Bohr magnetons per cell
DFT total energy = -92.8 eV per cell

Lattice parameters (Å, degrees): 9.3912 9.3912 9.3912 54.68 54.68 54.68
With the nearest neighbours (Å) after each atom.
Atoms (fractional coordinates):
Ac 0.2342 0.2342 0.2342  3 Ir 2.97
Ac 0.2385 0.7308 0.7308  1 Co 2.92, 2 Ir 2.97
Ac 0.2692 0.2692 0.7615  1 Co 2.92, 2 Ir 2.97
Ac 0.2692 0.7615 0.2692  1 Co 2.92, 2 Ir 2.97
Ac 0.7308 0.2385 0.7308  1 Co 2.92, 2 Ir 2.97
Ac 0.7308 0.7308 0.2385  1 Co 2.92, 2 Ir 2.97
Ac 0.7615 0.2692 0.2692  1 Co 2.92, 2 Ir 2.97
Ac 0.7658 0.7658 0.7658  3 Ir 2.97
Co 0.5000 0.5000 0.5000  6 Ac 2.92
Ir 0.0000 0.0000 0.5000  6 Ac 2.97
Ir 0.0000 0.5000 0.0000  6 Ac 2.97
Ir 0.5000 0.0000 0.0000  6 Ac 2.97
Cl 0.0000 0.0000 0.0000  6 Ac 3.48
Cl 0.0000 0.5000 0.5000  6 Ac 3.44
Cl 0.5000 0.0000 0.5000  6 Ac 3.44
Cl 0.5000 0.5000 0.0000  6 Ac 3.44

***

4.
This record from the Alexandria database describes a relaxed structure of Zr2ZnTe. The functional is PBE.

## Properties
Density of states at the Fermi level = 1.04 states/eV per atom
Volume = 22.01 A^3/atom
Energy above the lowest structure with this stoichiometry = 79 meV per atom
M_tot = 0.0 Bohr magnetons per cell
DFT total energy = -23.0 eV per cell

Lattice parameters (Å, degrees): 3.8376 3.8376 5.9790 90.00 90.00 90.00
With the nearest neighbours (Å) after each atom.
Atoms (fractional coordinates):
Zr 0.0000 0.0000 0.0000  4 Zn 2.91, 2 Te 2.98-3.00, 4 Zr 3.20
Zr 0.5000 0.5000 0.2846  1 Zn 2.75, 4 Te 3.01
Zn 0.5000 0.5000 0.8243  5 Zr 2.75-2.91
Te 0.0000 0.0000 0.5020  6 Zr 2.98-3.01, 4 Zn 3.33

***

5.
This record from the Alexandria database describes a relaxed structure of ZnFeAg. The functional is PBE.

## Properties
Density of states at the Fermi level = 0.64 states/eV per atom
Volume = 14.48 A^3/atom
Energy above the lowest structure with this stoichiometry = 0 meV per atom
M_tot = 4.3 Bohr magnetons per cell
DFT total energy = -25.1 eV per cell
DFT formation energy = 0.02 eV/atom

Lattice parameters (Å, degrees): 2.9754 2.9754 9.8162 90.00 90.00 90.00
With the nearest neighbours (Å) after each atom.
Atoms (fractional coordinates):
Zn 0.2500 0.2500 0.2124  5 Fe 2.57-2.69, 4 Ag 2.76
Zn 0.7500 0.7500 0.7876  5 Fe 2.57-2.69, 4 Ag 2.76
Fe 0.2500 0.2500 0.9386  4 Fe 2.42, 5 Zn 2.57-2.69
Fe 0.7500 0.7500 0.0614  4 Fe 2.42, 5 Zn 2.57-2.69
Ag 0.2500 0.2500 0.6058  4 Zn 2.76, 8 Ag 2.96-2.98
Ag 0.7500 0.7500 0.3942  4 Zn 2.76, 8 Ag 2.96-2.98

***

6.
This record from the Alexandria database describes a relaxed structure of Li3AcPd. The functional is PBE.

## Properties
Density of states at the Fermi level = 1.09 states/eV per atom
Volume = 23.41 A^3/atom
Energy above the lowest structure with this stoichiometry = 67 meV per atom
M_tot = 0.0 Bohr magnetons per cell
DFT total energy = -15.3 eV per cell
DFT formation energy = -0.05 eV/atom

Lattice parameters (Å, degrees): 4.8919 4.8919 4.8919 90.00 90.00 90.00
With the nearest neighbours (Å) after each atom.
Atoms (fractional coordinates):
Li 0.0000 0.0000 0.5000  2 Pd 2.45
Li 0.0000 0.5000 0.0000  2 Pd 2.45
Li 0.5000 0.0000 0.0000  2 Pd 2.45
Ac 0.5000 0.5000 0.5000  12 Li 3.46
Pd 0.0000 0.0000 0.0000  6 Li 2.45

***

What did the third record say?
This record from the Alexandria database describes a relaxed structure of Ac8CoIr3Cl4. The functional is PBE.

## Properties
Density of states at the Fermi level = 0.31 states/eV per atom
Volume = 32.07 A^3/atom
M_tot = 0.0 Bohr magnetons per cell
DFT total energy = -92.8 eV per cell

Lattice parameters (Å, degrees): 9.3912 9.3912 9.3912 54.68 54.68 54.68
With the nearest neighbours (Å) after each atom.
Atoms (fractional coordinates):
Ac 0.2342 0.2342 0.2342  3 Ir 2.97
Ac 0.2385 0.7308 0.7308  1 Co 2.92, 2 Ir 2.97
Ac 0.2692 0.2692 0.7615  1 Co 2.92, 2 Ir 2.97
Ac 0.2692 0.7615 0.2692  1 Co 2.92, 2 Ir 2.97
Ac 0.7308 0.2385 0.7308  1 Co 2.92, 2 Ir 2.97
Ac 0.7308 0.7308 0.2385  1 Co 2.92, 2 Ir 2.97
Ac 0.7615 0.2692 0.2692  1 Co 2.92, 2 Ir 2.97
Ac 0.7658 0.7658 0.7658  3 Ir 2.97
Co 0.5000 0.5000 0.5000  6 Ac 2.92
Ir 0.0000 0.0000 0.5000  6 Ac 2.97
Ir 0.0000 0.5000 0.0000  6 Ac 2.97
Ir 0.5000 0.0000 0.0000  6 Ac 2.97
Cl 0.0000 0.0000 0.0000  6 Ac 3.48
Cl 0.0000 0.5000 0.5000  6 Ac 3.44
Cl 0.5000 0.0000 0.5000  6 Ac 3.44
Cl 0.5000 0.5000 0.0000  6 Ac 3.44

***

Which of these has the highest M_tot? GdHg

***

Among the records above, which one has the highest M_tot? GdHg

***

Please write out number 6 again, unchanged.
This record from the Alexandria database describes a relaxed structure of Li3AcPd. The functional is PBE.

## Properties
Density of states at the Fermi level = 1.09 states/eV per atom
Volume = 23.41 A^3/atom
Energy above the lowest structure with this stoichiometry = 67 meV per atom
M_tot = 0.0 Bohr magnetons per cell
DFT total energy = -15.3 eV per cell
DFT formation energy = -0.05 eV/atom

Lattice parameters (Å, degrees): 4.8919 4.8919 4.8919 90.00 90.00 90.00
With the nearest neighbours (Å) after each atom.
Atoms (fractional coordinates):
Li 0.0000 0.0000 0.5000  2 Pd 2.45
Li 0.0000 0.5000 0.0000  2 Pd 2.45
Li 0.5000 0.0000 0.0000  2 Pd 2.45
Ac 0.5000 0.5000 0.5000  12 Li 3.46
Pd 0.0000 0.0000 0.0000  6 Li 2.45